# Ce2InSn | the Alexandria database | PBE | optimized geometry
data_Ce2InSn
_chemical_formula_sum 'Ce4 In2 Sn2'
_cell_length_a 6.9771
_cell_length_b 9.2014
_cell_length_c 3.3978
_cell_angle_alpha 90.00
_cell_angle_beta 90.00
_cell_angle_gamma 90.00
_space_group_name_H-M_alt 'C m m m'
_space_group_IT_number 65
_space_group_name_Hall '-C 2 2'
loop_
_atom_site_label
_atom_site_type_symbol
_atom_site_fract_x
_atom_site_fract_y
_atom_site_fract_z
_atom_site_occupancy
Ce1 Ce 0.2500 0.2500 0.0000 1
In1 In 0.0000 0.0000 0.5000 1
Sn1 Sn 0.0000 0.5000 0.5000 1
# * magnetic moment: 1.58 μB/f.u.
# * energy relative to the elements: -0.486 eV per atom
# * electronic total energy: -0.378 Ry per atom